A relaxed Li2TaOs crystal. Source: Alexandria, functional PBEsol.

POSCAR file:
```
Li2TaOs
1.0
-2.4621 0.2609 0.9795
0.1958 -4.7110 0.4871
1.8114 0.5315 4.4120
Li Os Ta
2 1 1
direct
0.7880 0.7317 0.0000 Li
0.2120 0.2683 0.0000 Li
0.0000 0.5000 0.5000 Os
0.5000 0.0000 0.5000 Ta
```

Final energy (eV for the cell shown): -27.73
Size of the total moment (μB/f.u.): 0.00
Energy relative to the elements (eV per atom): 0.243
Mass density (g/cm³): 10.61
E above lowest polymorph (meV per atom): 36

A relaxed ScCuPt2 crystal. Source: Alexandria, functional PBEsol.

POSCAR file:
```
ScCuPt2
1.0
-1.2991 1.8749 -1.7538
1.5998 -1.7710 -3.0783
-4.2649 -3.2689 -0.3358
Sc Cu Pt
1 1 2
direct
0.0000 0.0000 0.4950 Sc
0.5000 0.5000 0.7700 Cu
0.0000 0.0000 0.9735 Pt
0.5000 0.5000 0.2614 Pt
```

Final energy (eV for the cell shown): -27.53
Size of the total moment (μB/f.u.): 0.00
Energy relative to the elements (eV per atom): -0.665
Mass density (g/cm³): 13.72

A relaxed AlAg7 crystal. Source: Alexandria, functional PBEsol.

POSCAR file:
```
AlAg7
1.0
-0.0628 0.5883 -4.0513
-3.0907 -2.6638 -0.3389
-5.1184 5.8209 0.9246
Ag Al
7 1
direct
0.0000 0.5000 0.7551 Ag
0.0000 0.0000 0.5000 Ag
0.5000 0.0000 0.7551 Ag
0.5000 0.0000 0.2449 Ag
0.5000 0.5000 0.0000 Ag
0.5000 0.5000 0.5000 Ag
0.0000 0.5000 0.2449 Ag
0.0000 0.0000 0.0000 Al
```

Final energy (eV for the cell shown): -27.61
Size of the total moment (μB/f.u.): 0.00
Energy relative to the elements (eV per atom): -0.043
Mass density (g/cm³): 9.92
E above lowest polymorph (meV per atom): 8

A relaxed BaNb3Pd crystal. Source: Alexandria, functional PBEsol.

POSCAR file:
```
BaNb3Pd
1.0
-1.0498 -1.5068 -4.6342
4.8505 0.1322 -1.1418
0.4680 -4.7498 1.4384
Nb Ba Pd
3 1 1
direct
0.0000 0.5000 0.0000 Nb
0.5000 0.0000 0.0000 Nb
0.0000 0.0000 0.5000 Nb
0.5000 0.5000 0.5000 Ba
0.0000 0.0000 0.0000 Pd
```

Final energy (eV for the cell shown): -34.49
Size of the total moment (μB/f.u.): 0.00
Energy relative to the elements (eV per atom): 1.216
Mass density (g/cm³): 7.00

A relaxed SiRu2W crystal. Source: Alexandria, functional PBEsol.

POSCAR file:
```
SiRu2W
1.0
2.7179 -0.0078 0.0000
-1.1318 2.4711 0.0000
0.0000 0.0000 8.3271
Ru Si W
2 1 1
direct
0.5000 0.5000 0.7297 Ru
0.0000 0.0000 0.0015 Ru
0.0000 0.0000 0.5114 Si
0.5000 0.5000 0.2574 W
```

Formation energy without anion corrections (eV per atom): 0.1844
Final energy (eV for the cell shown): -39.16
Size of the total moment (μB/f.u.): 0.00
Mass density (g/cm³): 12.31

A relaxed TiS2I crystal. Source: Alexandria, functional PBEsol.

POSCAR file:
```
TiS2I
1.0
3.3363 0.0000 0.0000
1.6682 2.8893 0.0000
1.6682 0.9631 10.6047
I S Ti
1 2 1
direct
0.0000 0.0000 0.0000 I
0.1217 0.1217 0.6349 S
0.8783 0.8783 0.3651 S
0.5000 0.5000 0.5000 Ti
```

Formation energy without anion corrections (eV per atom): -0.9164
Final energy (eV for the cell shown): -22.52
Size of the total moment (μB/f.u.): 0.00
Mass density (g/cm³): 3.88
E above lowest polymorph (meV per atom): 0

A relaxed SrAsOs2 crystal. Source: Alexandria, functional PBEsol.

POSCAR file:
```
SrAsOs2
1.0
-2.4026 1.1361 -1.1570
0.1986 -2.7266 -3.0897
-2.6232 -4.4832 3.7878
Sr As Os
1 1 2
direct
0.5096 0.0000 0.5111 Sr
0.1338 0.5000 0.8039 As
0.1352 0.0000 0.0326 Os
0.7213 0.5000 0.1525 Os
```

Final energy (eV for the cell shown): -30.34
Size of the total moment (μB/f.u.): 0.00
Energy relative to the elements (eV per atom): 0.258
Mass density (g/cm³): 11.90

A relaxed TlNi2Pt crystal. Source: Alexandria, functional PBEsol.

POSCAR file:
```
TlNi2Pt
1.0
4.3002 0.0000 0.0000
2.1501 3.7241 0.0000
2.1501 1.2414 3.5111
Pt Tl Ni
1 1 2
direct
0.0000 0.0000 0.0000 Pt
0.5000 0.5000 0.5000 Tl
0.2500 0.2500 0.2500 Ni
0.7500 0.7500 0.7500 Ni
```

Final energy (eV for the cell shown): -21.59
Size of the total moment (μB/f.u.): 0.00
Energy relative to the elements (eV per atom): 0.080
Mass density (g/cm³): 15.26
E above lowest polymorph (meV per atom): 0

> What is the mass density in the third record?

9.92 g/cm³

> What is the formula in the third record?

AlAg7

> The lowest mass density belongs to which entry?

TiS2I